# 1
This record from the Alexandria database describes crystalline CdSi at its relaxed geometry. The functional is PBE-GGA.

Cell: 3.426 3.426 3.426 Å, 90.00 90.00 90.00°
Space group Pm-3m (No. 221)
Inequivalent atoms, fractional coordinates:
Cd1 0.000 0.000 0.000 x1
Si1 0.500 0.500 0.500 x1

Results
formation energy without anion corrections: 0.5571 eV per atom
DFT total energy: -2.612 eV/atom

=====

# 2
This record from the Alexandria database describes crystalline ZnGaCuPd2 at its relaxed geometry. The functional is PBE-GGA.

Cell: 4.708 4.708 4.367 Å, 90.00 90.00 90.00°
Space group P4/mmm (No. 123)
Inequivalent atoms, fractional coordinates:
Zn1 0.000 0.000 0.000 x1
Ga1 0.500 0.500 0.000 x1
Cu1 0.500 0.500 0.500 x1
Pd1 0.000 0.500 0.500 x2

Results
DFT total energy: -3.325 eV/atom

=====

# 3
This record from the Alexandria database describes crystalline BaSc2Rh at its relaxed geometry. The functional is PBE-GGA.

Cell: 3.365 4.335 15.911 Å, 90.00 90.00 90.00°
Space group Imm2 (No. 44)
Inequivalent atoms, fractional coordinates:
Ba1 0.000 0.000 0.000 x2
Sc1 0.000 0.000 0.323 x2
Sc2 0.000 0.500 0.183 x2
Rh1 0.000 0.500 0.694 x2

Results
DFT total energy: -5.644 eV/atom

=====

no.,N(E_F) (states/eV per atom)
1,0.7091
2,0.5092
3,1.2533